Dy9ErTm2 | Alexandria via LeMat-Bulk | GGA-PBE | optimized geometry; offset from the most stable computed form = 0.0305 eV per atom
1.0
11.130 0.000 0.000
-5.565 9.639 0.000
0.000 0.000 3.467
Dy Er Tm
9 1 2
direct
0.000 0.500 0.000
0.176 0.352 0.500
0.176 0.824 0.500
0.352 0.176 0.500
0.500 0.000 0.000
0.500 0.500 0.000
0.648 0.824 0.500
0.824 0.176 0.500
0.824 0.648 0.500
0.000 0.000 0.000
0.333 0.667 0.000
0.667 0.333 0.000